Computed, not measured: a relaxed structure of TaP2Se at the PBEsol level of DFT.

Computed properties:
* formation energy from raw total energies: -0.078 eV/atom
* total moment: 0.000 μB per atom
* symmetry: No. 10
* DOS(E_F): 0.477 states/eV/atom

Geometry as POSCAR:
```
TaP2Se
1.0
3.4729 0.0000 0.0000
0.0000 4.7093 0.0000
-0.9088 0.0000 4.3347
Ta P Se
1 2 1
direct
0.0000 0.0000 0.0000
0.2011 0.5000 0.8365
0.7989 0.5000 0.1635
0.5000 0.0000 0.5000
```

---

Computed, not measured: a relaxed structure of TcPSe2 at the PBEsol level of DFT.

Computed properties:
* formation energy from raw total energies: 0.036 eV/atom
* total moment: 0.000 μB per atom
* symmetry: No. 99
* DOS(E_F): 0.799 states/eV/atom

Geometry as POSCAR:
```
TcPSe2
1.0
3.1271 0.0000 0.0000
0.0000 3.1271 0.0000
0.0000 0.0000 6.8433
Tc P Se
1 1 2
direct
0.0000 0.0000 0.0000
0.5000 0.5000 0.1744
0.0000 0.0000 0.3792
0.5000 0.5000 0.7663
```

---

Computed, not measured: a relaxed structure of Tc2PSe at the PBEsol level of DFT.

Computed properties:
* formation energy from raw total energies: 0.372 eV/atom
* total moment: 0.000 μB per atom
* symmetry: No. 12
* DOS(E_F): 0.898 states/eV/atom

Geometry as POSCAR:
```
Tc2PSe
1.0
2.9453 -3.8543 0.0000
2.9453 3.8543 0.0000
-1.4959 0.0000 2.5925
Tc P Se
2 1 1
direct
0.0000 0.5000 0.0000
0.5000 0.0000 0.0000
0.0000 0.0000 0.5000
0.5000 0.5000 0.5000
```

---

Computed, not measured: a relaxed structure of TcPSe at the PBEsol level of DFT.

Computed properties:
* formation energy from raw total energies: 0.499 eV/atom
* total moment: 0.000 μB per atom
* symmetry: No. 216
* DOS(E_F): 0.700 states/eV/atom

Geometry as POSCAR:
```
TcPSe
1.0
0.0000 2.9009 2.9009
2.9009 0.0000 2.9009
2.9009 2.9009 0.0000
Tc P Se
1 1 1
direct
0.0000 0.0000 0.0000
0.7500 0.7500 0.7500
0.5000 0.5000 0.5000
```

---

Computed, not measured: a relaxed structure of Te2P2Se at the PBEsol level of DFT.

Computed properties:
* formation energy from raw total energies: 0.335 eV/atom
* total moment: 0.000 μB per atom
* symmetry: No. 127
* DOS(E_F): 0.452 states/eV/atom

Geometry as POSCAR:
```
Te2P2Se
1.0
7.5601 0.0000 0.0000
0.0000 7.5601 0.0000
0.0000 0.0000 3.8591
Te P Se
4 4 2
direct
0.1535 0.3465 0.0000
0.3465 0.8465 0.0000
0.6535 0.1535 0.0000
0.8465 0.6535 0.0000
0.1883 0.6883 0.5000
0.3117 0.1883 0.5000
0.6883 0.8117 0.5000
0.8117 0.3117 0.5000
0.0000 0.0000 0.5000
0.5000 0.5000 0.5000
```

---

Computed, not measured: a relaxed structure of Te2PSe at the PBEsol level of DFT.

Computed properties:
* formation energy from raw total energies: 0.429 eV/atom
* total moment: 0.000 μB per atom
* symmetry: No. 225
* DOS(E_F): 0.638 states/eV/atom

Geometry as POSCAR:
```
Te2PSe
1.0
0.0000 3.5088 3.5088
3.5088 0.0000 3.5088
3.5088 3.5088 0.0000
Te P Se
2 1 1
direct
0.2500 0.2500 0.2500
0.7500 0.7500 0.7500
0.0000 0.0000 0.0000
0.5000 0.5000 0.5000
```

---

Computed, not measured: a relaxed structure of Te2PSe at the PBEsol level of DFT.

Computed properties:
* formation energy from raw total energies: 0.286 eV/atom
* total moment: 0.000 μB per atom
* symmetry: No. 166
* DOS(E_F): 0.525 states/eV/atom

Geometry as POSCAR:
```
Te2PSe
1.0
1.8845 1.0880 8.7238
-1.8845 1.0880 8.7238
0.0000 -2.1760 8.7238
Te P Se
2 1 1
direct
0.1013 0.1013 0.1013
0.8987 0.8987 0.8987
0.5000 0.5000 0.5000
0.0000 0.0000 0.0000
```

---

Computed, not measured: a relaxed structure of Te2PSe at the PBEsol level of DFT.

Computed properties:
* formation energy from raw total energies: 0.112 eV/atom
* total moment: 0.000 μB per atom
* symmetry: No. 166
* DOS(E_F): 0.563 states/eV/atom

Geometry as POSCAR:
```
Te2PSe
1.0
2.0233 1.1681 6.8078
-2.0233 1.1681 6.8078
0.0000 -2.3363 6.8078
Te P Se
2 1 1
direct
0.2428 0.2428 0.2428
0.7572 0.7572 0.7572
0.5000 0.5000 0.5000
0.0000 0.0000 0.0000
```

---

Computed, not measured: a relaxed structure of TePSe at the PBEsol level of DFT.

Computed properties:
* formation energy from raw total energies: 0.154 eV/atom
* total moment: 0.000 μB per atom
* symmetry: No. 107
* DOS(E_F): 0.618 states/eV/atom

Geometry as POSCAR:
```
TePSe
1.0
-1.7433 1.7433 6.4561
1.7433 -1.7433 6.4561
1.7433 1.7433 -6.4561
Te P Se
1 1 1
direct
0.0000 0.0000 0.0000
0.8068 0.8068 0.0000
0.2674 0.2674 0.0000
```

---

Computed, not measured: a relaxed structure of TePSe2 at the PBEsol level of DFT.

Computed properties:
* formation energy from raw total energies: 0.300 eV/atom
* total moment: 0.000 μB per atom
* symmetry: No. 122
* DOS(E_F): 0.687 states/eV/atom

Geometry as POSCAR:
```
TePSe2
1.0
-3.5446 3.5446 3.8641
3.5446 -3.5446 3.8641
3.5446 3.5446 -3.8641
Te P Se
2 2 4
direct
0.0000 0.0000 0.0000
0.7500 0.2500 0.5000
0.2500 0.7500 0.5000
0.5000 0.5000 0.0000
0.1668 0.1250 0.5418
0.3750 0.8332 0.9582
0.5832 0.6250 0.4582
0.8750 0.4168 0.0418
```

---

Computed, not measured: a relaxed structure of TePSe3 at the PBEsol level of DFT.

Computed properties:
* formation energy from raw total energies: 0.366 eV/atom
* total moment: 0.000 μB per atom
* symmetry: No. 221
* DOS(E_F): 0.718 states/eV/atom

Geometry as POSCAR:
```
TePSe3
1.0
4.7923 0.0000 0.0000
0.0000 4.7923 0.0000
0.0000 0.0000 4.7923
Te P Se
1 1 3
direct
0.0000 0.0000 0.0000
0.5000 0.5000 0.5000
0.0000 0.5000 0.5000
0.5000 0.0000 0.5000
0.5000 0.5000 0.0000
```

---

Computed, not measured: a relaxed structure of ThPSe at the PBEsol level of DFT.

Computed properties:
* formation energy from raw total energies: -1.462 eV/atom
* total moment: 0.000 μB per atom
* symmetry: No. 129
* DOS(E_F): 0.299 states/eV/atom

Geometry as POSCAR:
```
ThPSe
1.0
4.0219 0.0000 0.0000
0.0000 4.0219 0.0000
0.0000 0.0000 8.3357
Th P Se
2 2 2
direct
0.2500 0.2500 0.2458
0.7500 0.7500 0.7542
0.2500 0.7500 0.5000
0.7500 0.2500 0.5000
0.2500 0.2500 0.8688
0.7500 0.7500 0.1312
```

---

DOS(E_F) of number 10 (TePSe2)?
0.687 states/eV/atom

---

formation energy from raw total energies of number 5 (Te2P2Se)?
0.335 eV/atom